A relaxed LiNb8O14 crystal, computed with PBEsol.

Computed properties:
E_tot	-9.37	eV per atom
E_form (uncorrected)	-2.32	eV/atom

CIF file:
```
data_LiNb8O14
_cell_length_a 9.1864
_cell_length_b 10.3338
_cell_length_c 5.9368
_cell_angle_alpha 90.00
_cell_angle_beta 90.00
_cell_angle_gamma 90.00
_space_group_name_H-M_alt 'P b a m'
_space_group_IT_number 55
loop_
_space_group_symop_operation_xyz
'x,y,z'
'-x,-y,-z'
'-x,-y,z'
'x,y,-z'
'x+1/2,-y+1/2,-z'
'-x+1/2,y+1/2,z'
'-x+1/2,y+1/2,-z'
'x+1/2,-y+1/2,z'
loop_
_atom_site_label
_atom_site_fract_x
_atom_site_fract_y
_atom_site_fract_z
Li1 0.0000 0.0000 0.0000
Nb1 0.1098 0.1631 0.5000
Nb2 0.1213 0.6651 0.0000
Nb3 0.1306 0.4234 0.2372
O1 0.0000 0.0000 0.5000
O2 0.0000 0.5000 0.5000
O3 0.0027 0.2500 0.2490
O4 0.2375 0.8465 0.0000
O5 0.2398 0.3212 0.5000
O6 0.2411 0.0886 0.2491
```

---

A relaxed MnTlC3 crystal, computed with PBEsol.

Computed properties:
E_tot	-4.69	eV per atom
ΔH_f (0 K)	3.57	eV per atom

CIF file:
```
data_MnTlC3
_cell_length_a 4.3112
_cell_length_b 4.3112
_cell_length_c 4.3112
_cell_angle_alpha 90.00
_cell_angle_beta 90.00
_cell_angle_gamma 90.00
_space_group_name_H-M_alt 'P m -3 m'
_space_group_IT_number 221
_space_group_name_Hall '-P 4 2 3'
loop_
_atom_site_label
_atom_site_fract_x
_atom_site_fract_y
_atom_site_fract_z
Mn1 0.0000 0.0000 0.0000
Tl1 0.5000 0.5000 0.5000
C1 0.0000 0.5000 0.5000
```

---

A relaxed K3Hg crystal, computed with PBEsol.

Computed properties:
E_tot	-1.05	eV per atom
ΔH_f (0 K)	-0.06	eV per atom

CIF file:
```
data_K3Hg
_cell_length_a 8.3006
_cell_length_b 8.3006
_cell_length_c 6.0814
_cell_angle_alpha 90.00
_cell_angle_beta 90.00
_cell_angle_gamma 120.00
_space_group_name_H-M_alt 'P 63/m m c'
_space_group_IT_number 194
_space_group_name_Hall '-P 6c 2c'
loop_
_atom_site_label
_atom_site_fract_x
_atom_site_fract_y
_atom_site_fract_z
K1 0.1801 0.3601 0.2500
Hg1 0.3333 0.6667 0.7500
```

---

A relaxed K2MoP2O9 crystal, computed with PBEsol.

Computed properties:
E_tot	-7.43	eV per atom
E_form (uncorrected)	-2.22	eV/atom

CIF file:
```
data_K2MoP2O9
_cell_length_a 13.7844
_cell_length_b 8.0528
_cell_length_c 15.5261
_cell_angle_alpha 90.00
_cell_angle_beta 99.60
_cell_angle_gamma 90.00
_space_group_name_H-M_alt 'C 1 2/c 1'
_space_group_IT_number 15
loop_
_space_group_symop_operation_xyz
'x,y,z'
'-x,-y,-z'
'-x,y,-z+1/2'
'x,-y,z+1/2'
'x+1/2,y+1/2,z'
'-x+1/2,-y+1/2,-z'
'-x+1/2,y+1/2,-z+1/2'
'x+1/2,-y+1/2,z+1/2'
loop_
_atom_site_label
_atom_site_fract_x
_atom_site_fract_y
_atom_site_fract_z
K1 0.1447 0.1625 0.2366
K2 0.1460 0.0777 0.9715
Mo1 0.1142 0.3555 0.6369
P1 0.0387 0.3044 0.4235
P2 0.1299 0.4165 0.8460
O1 0.0291 0.1525 0.3671
O2 0.0377 0.3179 0.8557
O3 0.0524 0.4144 0.0845
O4 0.0721 0.2517 0.5206
O5 0.1220 0.4822 0.7502
O6 0.1299 0.4144 0.4022
O7 0.1454 0.1730 0.6895
O8 0.2248 0.3304 0.8800
O9 0.2245 0.4259 0.6154
```

---

Please write out number 1 again, unchanged.
A relaxed LiNb8O14 crystal, computed with PBEsol.

Computed properties:
E_tot	-9.37	eV per atom
E_form (uncorrected)	-2.32	eV/atom

CIF file:
```
data_LiNb8O14
_cell_length_a 9.1864
_cell_length_b 10.3338
_cell_length_c 5.9368
_cell_angle_alpha 90.00
_cell_angle_beta 90.00
_cell_angle_gamma 90.00
_space_group_name_H-M_alt 'P b a m'
_space_group_IT_number 55
loop_
_space_group_symop_operation_xyz
'x,y,z'
'-x,-y,-z'
'-x,-y,z'
'x,y,-z'
'x+1/2,-y+1/2,-z'
'-x+1/2,y+1/2,z'
'-x+1/2,y+1/2,-z'
'x+1/2,-y+1/2,z'
loop_
_atom_site_label
_atom_site_fract_x
_atom_site_fract_y
_atom_site_fract_z
Li1 0.0000 0.0000 0.0000
Nb1 0.1098 0.1631 0.5000
Nb2 0.1213 0.6651 0.0000
Nb3 0.1306 0.4234 0.2372
O1 0.0000 0.0000 0.5000
O2 0.0000 0.5000 0.5000
O3 0.0027 0.2500 0.2490
O4 0.2375 0.8465 0.0000
O5 0.2398 0.3212 0.5000
O6 0.2411 0.0886 0.2491
```

---

Repeat the fourth record exactly.
A relaxed K2MoP2O9 crystal, computed with PBEsol.

Computed properties:
E_tot	-7.43	eV per atom
E_form (uncorrected)	-2.22	eV/atom

CIF file:
```
data_K2MoP2O9
_cell_length_a 13.7844
_cell_length_b 8.0528
_cell_length_c 15.5261
_cell_angle_alpha 90.00
_cell_angle_beta 99.60
_cell_angle_gamma 90.00
_space_group_name_H-M_alt 'C 1 2/c 1'
_space_group_IT_number 15
loop_
_space_group_symop_operation_xyz
'x,y,z'
'-x,-y,-z'
'-x,y,-z+1/2'
'x,-y,z+1/2'
'x+1/2,y+1/2,z'
'-x+1/2,-y+1/2,-z'
'-x+1/2,y+1/2,-z+1/2'
'x+1/2,-y+1/2,z+1/2'
loop_
_atom_site_label
_atom_site_fract_x
_atom_site_fract_y
_atom_site_fract_z
K1 0.1447 0.1625 0.2366
K2 0.1460 0.0777 0.9715
Mo1 0.1142 0.3555 0.6369
P1 0.0387 0.3044 0.4235
P2 0.1299 0.4165 0.8460
O1 0.0291 0.1525 0.3671
O2 0.0377 0.3179 0.8557
O3 0.0524 0.4144 0.0845
O4 0.0721 0.2517 0.5206
O5 0.1220 0.4822 0.7502
O6 0.1299 0.4144 0.4022
O7 0.1454 0.1730 0.6895
O8 0.2248 0.3304 0.8800
O9 0.2245 0.4259 0.6154
```